No. 1
DFT (PBE) results for a relaxed HgP2Au crystal.

CIF file:
```
data_HgP2Au
_symmetry_space_group_name_H-M 'P 1'
_symmetry_Int_Tables_number 1
_cell_length_a 6.6336
_cell_length_b 6.6336
_cell_length_c 6.6336
_cell_angle_alpha 33.80
_cell_angle_beta 33.80
_cell_angle_gamma 33.80
loop_
_symmetry_equiv_pos_as_xyz
'x,y,z'
loop_
_atom_site_label
_atom_site_fract_x
_atom_site_fract_y
_atom_site_fract_z
P1 0.5201 0.5201 0.5201
P2 0.9799 0.9799 0.9799
Hg1 0.7500 0.7500 0.7500
Au1 0.2500 0.2500 0.2500
```

Summary:
**Calculated density**: 9.48 g cm⁻³
**Total moment**: 0.0000 μB/atom
**ΔH_f (0 K)**: 0.288 eV/atom

No. 2
DFT (PBE) results for a relaxed HgPAu2 crystal.

CIF file:
```
data_HgPAu2
_symmetry_space_group_name_H-M 'P 1'
_symmetry_Int_Tables_number 1
_cell_length_a 4.2391
_cell_length_b 4.2391
_cell_length_c 4.1432
_cell_angle_alpha 90.00
_cell_angle_beta 90.00
_cell_angle_gamma 90.00
loop_
_symmetry_equiv_pos_as_xyz
'x,y,z'
loop_
_atom_site_label
_atom_site_fract_x
_atom_site_fract_y
_atom_site_fract_z
Hg1 0.5000 0.5000 0.5000
Au1 0.0000 0.5000 0.0000
Au2 0.5000 0.0000 0.0000
P1 0.0000 0.0000 0.5000
```

Summary:
**Calculated density**: 13.95 g cm⁻³
**Total moment**: 0.0000 μB/atom
**ΔH_f (0 K)**: 0.341 eV/atom

No. 3
DFT (PBE) results for a relaxed HgP3Au crystal.

CIF file:
```
data_HgP3Au
_symmetry_space_group_name_H-M 'P 1'
_symmetry_Int_Tables_number 1
_cell_length_a 4.8791
_cell_length_b 4.8791
_cell_length_c 4.8791
_cell_angle_alpha 90.00
_cell_angle_beta 90.00
_cell_angle_gamma 90.00
loop_
_symmetry_equiv_pos_as_xyz
'x,y,z'
loop_
_atom_site_label
_atom_site_fract_x
_atom_site_fract_y
_atom_site_fract_z
Au1 0.0000 0.0000 0.0000
Hg1 0.5000 0.5000 0.5000
P1 0.5000 0.0000 0.0000
P2 0.0000 0.5000 0.0000
P3 0.0000 0.0000 0.5000
```

Summary:
**Calculated density**: 7.01 g cm⁻³
**Total moment**: 0.0000 μB/atom
**ΔH_f (0 K)**: 1.124 eV/atom

No. 4
DFT (PBE) results for a relaxed Hg2PAu crystal.

CIF file:
```
data_Hg2PAu
_symmetry_space_group_name_H-M 'P 1'
_symmetry_Int_Tables_number 1
_cell_length_a 5.2641
_cell_length_b 5.2641
_cell_length_c 5.2641
_cell_angle_alpha 131.33
_cell_angle_beta 131.33
_cell_angle_gamma 71.30
loop_
_symmetry_equiv_pos_as_xyz
'x,y,z'
loop_
_atom_site_label
_atom_site_fract_x
_atom_site_fract_y
_atom_site_fract_z
Hg1 0.0000 0.0000 0.0000
Hg2 0.5000 0.5000 0.0000
Au1 0.7500 0.2500 0.5000
P1 0.2500 0.7500 0.5000
```

Summary:
**Calculated density**: 12.97 g cm⁻³
**Total moment**: 0.0000 μB/atom
**ΔH_f (0 K)**: 0.439 eV/atom

No. 5
DFT (PBE) results for a relaxed HgP2Au crystal.

CIF file:
```
data_HgP2Au
_symmetry_space_group_name_H-M 'P 1'
_symmetry_Int_Tables_number 1
_cell_length_a 3.9685
_cell_length_b 2.7809
_cell_length_c 8.2604
_cell_angle_alpha 70.28
_cell_angle_beta 90.00
_cell_angle_gamma 90.00
loop_
_symmetry_equiv_pos_as_xyz
'x,y,z'
loop_
_atom_site_label
_atom_site_fract_x
_atom_site_fract_y
_atom_site_fract_z
Hg1 0.5000 0.6560 0.7215
Au1 0.0000 0.3852 0.4911
P1 0.5000 0.2993 0.0730
P2 0.0000 0.1594 0.2144
```

Summary:
**Calculated density**: 8.89 g cm⁻³
**Total moment**: 0.0000 μB/atom
**ΔH_f (0 K)**: 0.246 eV/atom

No. 6
DFT (PBE) results for a relaxed HgPAu2 crystal.

CIF file:
```
data_HgPAu2
_symmetry_space_group_name_H-M 'P 1'
_symmetry_Int_Tables_number 1
_cell_length_a 3.6964
_cell_length_b 3.6964
_cell_length_c 7.1685
_cell_angle_alpha 73.89
_cell_angle_beta 73.89
_cell_angle_gamma 61.87
loop_
_symmetry_equiv_pos_as_xyz
'x,y,z'
loop_
_atom_site_label
_atom_site_fract_x
_atom_site_fract_y
_atom_site_fract_z
Au1 0.4860 0.4860 0.5415
Au2 0.0140 0.0140 0.9585
Hg1 0.2500 0.2500 0.2500
P1 0.7500 0.7500 0.7500
```

Summary:
**Calculated density**: 12.71 g cm⁻³
**Total moment**: 0.0000 μB/atom
**ΔH_f (0 K)**: 0.190 eV/atom